1.
Here is a geometry-optimized La2TiPdF structure from Alexandria. Energies are from PBEsol.

abc: 4.758 4.758 4.931
angles: 90.00 90.00 90.00
Last column: magnetic moment on the atom in μB.
Element x y z (fractional)
Ti  0.500  0.500  0.500  1.34
La  0.000  0.500  0.000  0.10
La  0.500  0.000  0.000  0.10
F  0.000  0.000  0.000  0.00
Pd  0.000  0.000  0.500  0.08

Values from the calculation:
* uncorrected energy: -6.03 eV per atom
* total magnetization: 0.44 μB per atom
* space-group type: No. 123
* E_form (uncorrected): -3.2 eV per formula unit

---

2.
Here is a geometry-optimized RbLaF2 structure from Alexandria. Energies are from PBEsol.

abc: 4.064 4.064 7.844
angles: 74.99 74.99 60.00
Element x y z (fractional)
F  0.900  0.900  0.301
Rb  0.500  0.500  0.500
F  0.100  0.100  0.699
La  0.000  0.000  0.000

Values from the calculation:
* uncorrected energy: -5.14 eV per atom
* total magnetization: 0.00 μB per atom
* space-group type: No. 166
* E_form (uncorrected): -10.3 eV per formula unit

---

3.
Here is a geometry-optimized Rb2LaF5 structure from Alexandria. Energies are from PBEsol.

abc: 6.881 7.752 11.282
angles: 90.00 90.00 90.00
Element x y z (fractional)
F  0.103  0.268  0.512
F  0.855  0.487  0.920
F  0.897  0.768  0.488
F  0.337  0.269  0.305
F  0.855  0.050  0.920
Rb  0.968  0.021  0.671
Rb  0.032  0.015  0.329
F  0.355  0.550  0.580
F  0.137  0.768  0.832
F  0.603  0.768  0.988
F  0.663  0.769  0.695
La  0.063  0.268  0.003
Rb  0.468  0.521  0.829
F  0.355  0.987  0.580
Rb  0.532  0.021  0.171
F  0.837  0.769  0.195
Rb  0.532  0.515  0.171
La  0.563  0.768  0.497
F  0.645  0.487  0.420
Rb  0.968  0.515  0.671
F  0.863  0.268  0.168
Rb  0.032  0.521  0.329
F  0.637  0.268  0.668
La  0.437  0.268  0.503
F  0.145  0.550  0.080
La  0.937  0.768  0.997
Rb  0.468  0.015  0.829
F  0.163  0.269  0.805
F  0.363  0.768  0.332
F  0.645  0.050  0.420
F  0.145  0.987  0.080
F  0.397  0.268  0.012

Values from the calculation:
* uncorrected energy: -5.60 eV per atom
* total magnetization: 0.02 μB per atom
* space-group type: No. 62
* E_form (uncorrected): -27.8 eV per formula unit

---

4.
Here is a geometry-optimized Rb3LaF structure from Alexandria. Energies are from PBEsol.

abc: 7.242 7.242 7.242
angles: 90.00 90.00 90.00
Last column: magnetic moment on the atom in μB.
Element x y z (fractional)
Rb  0.500  0.000  0.000  0.04
Rb  0.000  0.500  0.000  0.04
Rb  0.000  0.000  0.500  0.04
La  0.000  0.000  0.000  1.04
F  0.500  0.500  0.500  -0.01

Values from the calculation:
* uncorrected energy: -1.70 eV per atom
* total magnetization: 0.65 μB per atom
* space-group type: No. 221
* E_form (uncorrected): 1.8 eV per formula unit

---

5.
Here is a geometry-optimized Rb2LaTcF structure from Alexandria. Energies are from PBEsol.

abc: 3.973 7.268 7.268
angles: 90.00 90.00 90.00
Last column: magnetic moment on the atom in μB.
Element x y z (fractional)
Tc  0.000  0.000  0.000  2.93
Rb  0.000  0.000  0.500  0.02
Rb  0.000  0.500  0.000  0.02
F  0.500  0.000  0.000  0.11
La  0.500  0.500  0.500  0.50

Values from the calculation:
* uncorrected energy: -3.43 eV per atom
* total magnetization: 0.97 μB per atom
* space-group type: No. 123
* E_form (uncorrected): 3.4 eV per formula unit

---

6.
Here is a geometry-optimized LaRh3F structure from Alexandria. Energies are from PBEsol.

abc: 4.778 4.778 4.778
angles: 90.00 90.00 90.00
Last column: magnetic moment on the atom in μB.
Element x y z (fractional)
Rh  0.000  0.000  0.500  0.42
Rh  0.500  0.000  0.000  0.42
F  0.500  0.500  0.500  -0.01
La  0.000  0.000  0.000  -0.04
Rh  0.000  0.500  0.000  0.42

Values from the calculation:
* uncorrected energy: -5.11 eV per atom
* total magnetization: 0.25 μB per atom
* space-group type: No. 221
* E_form (uncorrected): 6.1 eV per formula unit

---

7.
Here is a geometry-optimized LaRhF2 structure from Alexandria. Energies are from PBEsol.

abc: 3.147 3.147 7.722
angles: 78.24 78.24 60.00
Element x y z (fractional)
Rh  0.000  0.000  0.000
F  0.908  0.908  0.275
F  0.092  0.092  0.725
La  0.500  0.500  0.500

Values from the calculation:
* uncorrected energy: -5.85 eV per atom
* total magnetization: 0.00 μB per atom
* space-group type: No. 166
* E_form (uncorrected): -6.1 eV per formula unit

---

8.
Here is a geometry-optimized La2RuF2 structure from Alexandria. Energies are from PBEsol.

abc: 4.795 5.256 4.795
angles: 62.86 90.00 117.14
Last column: magnetic moment on the atom in μB.
Element x y z (fractional)
Ru  0.000  0.000  0.000  0.14
F  0.651  0.302  0.349  0.01
La  0.750  0.500  0.750  -0.01
F  0.349  0.698  0.651  0.01
La  0.250  0.500  0.250  -0.01

Values from the calculation:
* uncorrected energy: -6.61 eV per atom
* total magnetization: 0.03 μB per atom
* space-group type: No. 139
* E_form (uncorrected): -8.3 eV per formula unit

---

9.
Here is a geometry-optimized La2RuF structure from Alexandria. Energies are from PBEsol.

abc: 4.847 4.847 4.847
angles: 60.00 60.00 60.00
Element x y z (fractional)
Ru  0.500  0.500  0.500
La  0.250  0.250  0.250
La  0.750  0.750  0.750
F  0.000  0.000  0.000

Values from the calculation:
* uncorrected energy: -6.80 eV per atom
* total magnetization: 0.00 μB per atom
* space-group type: No. 225
* E_form (uncorrected): -4.4 eV per formula unit

---

10.
Here is a geometry-optimized La2SF structure from Alexandria. Energies are from PBEsol.

abc: 6.322 7.181 6.322
angles: 63.88 90.00 116.12
Last column: magnetic moment on the atom in μB.
Element x y z (fractional)
F  0.250  0.500  0.250  0.04
La  0.375  0.250  0.155  0.44
F  0.500  0.000  0.500  0.04
La  0.155  0.750  0.875  0.44
S  0.750  0.500  0.750  0.01
La  0.875  0.250  0.595  0.44
La  0.595  0.750  0.375  0.44
S  0.000  0.000  0.000  0.01

Values from the calculation:
* uncorrected energy: -6.18 eV per atom
* total magnetization: 0.64 μB per atom
* space-group type: No. 122
* E_form (uncorrected): -7.7 eV per formula unit

---

11.
Here is a geometry-optimized LaTcSb2F structure from Alexandria. Energies are from PBEsol.

abc: 4.871 5.952 5.952
angles: 90.00 90.00 90.00
Last column: magnetic moment on the atom in μB.
Element x y z (fractional)
La  0.000  0.000  0.000  -0.01
Sb  0.000  0.500  0.000  -0.01
Sb  0.000  0.000  0.500  -0.01
F  0.500  0.500  0.500  0.00
Tc  0.500  0.000  0.000  1.75

Values from the calculation:
* uncorrected energy: -4.36 eV per atom
* total magnetization: 0.39 μB per atom
* space-group type: No. 123
* E_form (uncorrected): 5.9 eV per formula unit

---

12.
Here is a geometry-optimized LaZrSb2F structure from Alexandria. Energies are from PBEsol.

abc: 4.040 5.447 5.447
angles: 90.00 90.00 90.00
Last column: magnetic moment on the atom in μB.
Element x y z (fractional)
F  0.000  0.000  0.000  0.00
La  0.500  0.500  0.500  0.04
Zr  0.500  0.000  0.000  0.19
Sb  0.000  0.500  0.000  -0.01
Sb  0.000  0.000  0.500  -0.01

Values from the calculation:
* uncorrected energy: -6.14 eV per atom
* total magnetization: 0.07 μB per atom
* space-group type: No. 123
* E_form (uncorrected): -5.2 eV per formula unit